No. 1
Ba3Ag2Hg2Au4 (PBE, optimized geometry); E_tot = -2.76 eV/atom; spin magnetization = 0.0 Bohr magnetons per cell; SG = P-3m1, No. 164
1.0
4.949 0.000 0.000
-2.474 4.286 0.000
0.000 0.000 15.550
Au Ag Ba Hg
4 2 3 2
direct
0.667 0.333 0.616
0.333 0.667 0.866
0.667 0.333 0.134
0.333 0.667 0.384
0.667 0.333 0.861
0.333 0.667 0.139
0.000 0.000 0.000
0.000 0.000 0.275
0.000 0.000 0.725
0.667 0.333 0.426
0.333 0.667 0.574

***

No. 2
Ba4AgAuI2 (PBE, optimized geometry); E_tot = -3.05 eV/atom; spin magnetization = 0.0 Bohr magnetons per cell; SG = P2/m, No. 10
1.0
4.760 0.000 0.000
0.000 8.259 0.146
0.000 -2.898 8.883
Ag Ba I Au
1 4 2 1
direct
0.000 0.000 0.000
0.500 0.242 0.213
0.000 0.731 0.209
0.000 0.269 0.791
0.500 0.758 0.787
0.500 0.000 0.500
0.000 0.500 0.500
0.500 0.500 0.000

***

No. 3
Ba8AgAu3I4 (PBE, optimized geometry); E_tot = -3.15 eV/atom; spin magnetization = 0.0 Bohr magnetons per cell; SG = R-3m, No. 166
1.0
9.515 0.000 0.000
0.000 10.435 0.637
-4.758 -4.754 6.731
Ba Au I Ag
8 3 4 1
direct
0.761 0.290 0.522
0.239 0.710 0.971
0.736 0.707 0.471
0.268 0.290 0.029
0.264 0.293 0.529
0.732 0.710 0.971
0.239 0.710 0.478
0.761 0.290 0.029
0.500 0.500 0.000
0.000 0.500 0.500
0.500 0.500 0.500
0.500 0.000 0.500
0.500 0.000 0.000
0.000 0.000 0.000
0.000 0.000 0.500
0.000 0.500 0.000